Record 1
VASP calculation (PBE+U) on RbTbMnF6 after structural relaxation.

```
data_RbTbMnF6
_chemical_formula_sum 'Rb2 Tb2 Mn2 F12'
_cell_length_a 5.9448
_cell_length_b 5.9448
_cell_length_c 11.7013
_cell_angle_alpha 90.00
_cell_angle_beta 90.00
_cell_angle_gamma 120.00
_symmetry_space_group_name_H-M 'P -3 1 c'
_symmetry_Int_Tables_number 163
_symmetry_space_group_name_Hall '-P 3 2c'
loop_
_atom_site_label
_atom_site_type_symbol
_atom_site_fract_x
_atom_site_fract_y
_atom_site_fract_z
Rb1 Rb 0.0000 0.0000 0.0000
Tb1 Tb 0.3333 0.6667 0.2500
Mn1 Mn 0.3333 0.6667 0.7500
F1 F 0.0064 0.3859 0.6508
```

## Properties
V	19.90	Å³/atom
energy	-6.042	eV per atom

=====

Record 2
VASP calculation (PBE+U) on BaNpMn2O8 after structural relaxation.

```
data_BaNpMn2O8
_chemical_formula_sum 'Ba1 Np1 Mn2 O8'
_cell_length_a 5.7879
_cell_length_b 5.7879
_cell_length_c 7.4739
_cell_angle_alpha 90.00
_cell_angle_beta 90.00
_cell_angle_gamma 120.00
_symmetry_space_group_name_H-M 'P -3 m 1'
_symmetry_Int_Tables_number 164
_symmetry_space_group_name_Hall '-P 3 2"'
loop_
_atom_site_label
_atom_site_type_symbol
_atom_site_fract_x
_atom_site_fract_y
_atom_site_fract_z
Ba1 Ba 0.0000 0.0000 0.0000
Np1 Np 0.0000 0.0000 0.5000
Mn1 Mn 0.3333 0.6667 0.2480
O1 O 0.1576 0.3151 0.3232
O2 O 0.3333 0.6667 0.0217
```

## Properties
V	18.07	Å³/atom
energy	-7.690	eV per atom